1.
Compound: Sr3TlRh3
Source: Alexandria via LeMat-Bulk
Functional: PBE
Structure: optimized geometry

extended XYZ file:
```
14
Lattice="4.546 0.000 0.000 -2.273 5.548 0.000 0.000 0.000 14.286" Properties=species:S:1:pos:R:3 pbc="T T T"
Rh 0.000 0.884 5.797
Rh 2.273 3.349 10.714
Rh 0.000 0.884 1.346
Rh 2.273 4.664 8.489
Rh 0.000 2.199 3.571
Rh 2.273 4.664 12.939
Sr 0.000 2.334 12.748
Sr 2.273 0.064 3.571
Sr 2.273 3.214 1.537
Sr 0.000 5.484 10.714
Sr 2.273 3.214 5.606
Sr 0.000 2.334 8.680
Tl 2.273 0.000 0.000
Tl 2.273 0.000 7.143
```

E_form = -0.32 eV/atom



2.
Compound: TiZn2Pb2
Source: Alexandria via LeMat-Bulk
Functional: PBE
Structure: optimized geometry

extended XYZ file:
```
10
Lattice="7.297 0.000 0.000 0.000 7.297 0.000 0.000 0.000 4.078" Properties=species:S:1:pos:R:3 pbc="T T T"
Zn 4.562 0.914 0.000
Zn 2.735 6.384 0.000
Zn 0.914 2.735 0.000
Zn 6.384 4.562 0.000
Pb 5.981 2.332 2.039
Pb 2.332 1.317 2.039
Pb 1.317 4.965 2.039
Pb 4.965 5.981 2.039
Ti 3.649 3.649 0.000
Ti 0.000 0.000 0.000
```

E_form = 0.24 eV/atom



3.
Compound: ScIn5Pt6
Source: Alexandria via LeMat-Bulk
Functional: PBE
Structure: optimized geometry

extended XYZ file:
```
12
Lattice="-4.719 0.158 -1.339 0.029 -5.904 -0.824 0.302 1.875 8.166" Properties=species:S:1:pos:R:3 pbc="T T T"
In -1.369 -3.628 4.384
In -3.036 -3.211 1.312
In -1.353 -0.661 4.691
In -3.020 -0.244 1.620
In 0.015 -2.952 -0.412
Sc 0.000 0.000 0.000
Pt -2.336 -4.335 -1.285
Pt -0.672 -1.805 2.133
Pt -3.717 -2.066 3.871
Pt -2.354 -1.411 -0.878
Pt -0.649 -4.759 1.723
Pt -3.739 0.887 4.280
```

E_form = -0.56 eV/atom



4.
Compound: Tc4Te5
Source: Alexandria via LeMat-Bulk
Functional: PBE
Structure: optimized geometry

extended XYZ file:
```
9
Lattice="7.463 -0.503 -2.236 -6.084 3.453 3.466 1.028 -4.998 5.909" Properties=species:S:1:pos:R:3 pbc="T T T"
Tc 5.318 -3.445 2.301
Tc 3.173 -2.056 1.373
Tc -1.890 -0.577 3.504
Tc -3.167 -0.967 5.872
Te 0.000 0.000 0.000
Te 1.137 -2.332 4.318
Te -1.601 2.144 1.579
Te 2.980 0.806 -0.349
Te 1.270 0.284 2.821
```

Energy above the lowest structure with this stoichiometry = 209.7 meV per atom



5.
Compound: BiPdCl2
Source: Alexandria via LeMat-Bulk
Functional: PBE
Structure: optimized geometry

extended XYZ file:
```
8
Lattice="-1.114 7.265 1.938 -1.015 -2.086 7.238 1.963 2.915 5.106" Properties=species:S:1:pos:R:3 pbc="T T T"
Cl 0.636 4.052 7.535
Cl -0.324 0.598 6.113
Cl -0.292 4.743 3.322
Cl -0.354 6.793 11.595
Pd -0.059 1.709 8.466
Pd -1.065 2.589 4.588
Bi -0.108 6.384 5.816
Bi 0.000 0.000 0.000
```

Energy above the lowest structure with this stoichiometry = 80.9 meV per atom



6.
Compound: CaPmPdAu
Source: Alexandria via LeMat-Bulk
Functional: PBE
Structure: optimized geometry

extended XYZ file:
```
4
Lattice="-2.978 -0.164 -2.599 2.972 -0.493 -3.374 1.264 -5.427 1.905" Properties=species:S:1:pos:R:3 pbc="T T T"
Pm -0.167 -4.334 -2.546
Ca -0.063 -1.548 0.170
Au -0.040 -1.232 -2.887
Pd -0.187 -4.559 0.501
```

Energy above the lowest structure with this stoichiometry = 0.0 meV per atom
E_form = -0.80 eV/atom



7.
Compound: TaVZnBr2
Source: Alexandria via LeMat-Bulk
Functional: PBE
Structure: optimized geometry

extended XYZ file:
```
5
Lattice="-4.108 2.374 0.671 -1.372 -1.001 -4.858 -2.110 -4.056 1.432" Properties=species:S:1:pos:R:3 pbc="T T T"
Zn 0.000 0.000 0.000
Br -2.054 1.187 0.336
Br -1.055 -2.028 0.716
V -0.686 -0.501 -2.429
Ta -3.795 -1.342 -1.377
```



8.
Compound: HfCdPb3
Source: Alexandria via LeMat-Bulk
Functional: PBE
Structure: optimized geometry

extended XYZ file:
```
5
Lattice="-2.363 1.059 4.877 -0.999 -5.387 0.686 4.889 -0.589 2.497" Properties=species:S:1:pos:R:3 pbc="T T T"
Pb -1.182 0.530 2.438
Pb -0.499 -2.693 0.343
Pb 2.445 -0.294 1.249
Cd 0.000 0.000 0.000
Hf 0.763 -2.458 4.030
```

Energy above the lowest structure with this stoichiometry = 567.2 meV per atom
E_form = 0.97 eV/atom



no.,size of the total moment (μB per formula unit),E_tot (eV per atom)
1,0.00,-4.53
2,0.98,-3.33
3,0.00,-5.25
4,0.00,-5.60
5,0.00,-3.30
6,0.00,-4.60
7,2.08,-3.51
8,0.00,-3.43